[1]
Entry from Alexandria: a relaxed PrO2 crystal (GGA-PBE).

a = 6.222 Å, b = 3.667 Å, c = 7.404 Å
α = 90.00°, β = 90.00°, γ = 90.00°
Space group Pnma (No. 62)
Inequivalent atoms, fractional coordinates:
Pr 0.249 0.250 0.121 [4 per cell]
O 0.040 0.750 0.328 [4 per cell]
O 0.140 0.750 0.931 [4 per cell]

- final energy (eV per atom) = -7.436
- formation energy from raw total energies (eV per formula unit) = -7.61
- V (Å³ per atom) = 14.08

[2]
Entry from Alexandria: a relaxed Pr4O crystal (GGA-PBE).

a = 12.334 Å, b = 5.459 Å, c = 10.919 Å
α = 90.00°, β = 116.53°, γ = 90.00°
Space group C2/c (No. 15)
Inequivalent atoms, fractional coordinates:
Pr 0.119 0.002 0.186 [8 per cell]
Pr 0.119 0.496 0.933 [8 per cell]
O 0.000 0.246 0.750 [4 per cell]

- final energy (eV per atom) = -5.826
- energy above the most stable polymorph in this dataset (meV/atom) = 58
- formation energy from raw total energies (eV per formula unit) = -5.05
- V (Å³ per atom) = 32.89